Material: TlCuSnTeSe2
Method: DFT, PBE
State: relaxed

Cell lengths 3.881, 15.085, 11.416 Å; angles 90.00, 90.00, 90.00 degrees
Space group Cmcm (No. 63)
Unique sites:
Tl: 0.000 0.234 0.250
Cu: 0.000 0.446 0.750
Sn: 0.000 0.000 0.000
Te: 0.000 0.068 0.750
Se: 0.000 0.374 0.558

Theoretical density = 6.68 Mg/m³
Calculated volume = 27.850 A^3/atom
Total DFT energy (no corrections) = -3.60 eV per atom